This record from the Alexandria database describes MnGaSb2S after structural relaxation. The functional is PBEsol.

```
data_MnGaSb2S
_cell_length_a 4.5645
_cell_length_b 4.7845
_cell_length_c 4.7845
_cell_angle_alpha 90.00
_cell_angle_beta 90.00
_cell_angle_gamma 90.00
_space_group_name_H-M_alt 'P 1'
_space_group_IT_number 1
loop_
_space_group_symop_operation_xyz
'x,y,z'
loop_
_atom_site_label
_atom_site_type_symbol
_atom_site_fract_x
_atom_site_fract_y
_atom_site_fract_z
Sb1 Sb 0.0000 0.0000 0.5000
Sb2 Sb 0.0000 0.5000 0.0000
S1 S 0.5000 0.5000 0.5000
Mn1 Mn 0.0000 0.0000 0.0000
Ga1 Ga 0.5000 0.0000 0.0000
```

## Properties
Total magnetic moment   0.00 μB per formula unit
ΔE_f (raw)   0.119 eV per atom